# MgSc, relaxed, DFT PBE
data_MgSc
_symmetry_space_group_name_H-M 'P m m n'
_symmetry_Int_Tables_number 59
_cell_length_a 3.401
_cell_length_b 5.125
_cell_length_c 5.473
_cell_angle_alpha 90.00
_cell_angle_beta 90.00
_cell_angle_gamma 90.00
loop_
_symmetry_equiv_pos_as_xyz
'x,y,z'
'-x,-y,-z'
'-x+1/2,-y+1/2,z'
'x+1/2,y+1/2,-z'
'x+1/2,-y,-z'
'-x+1/2,y,z'
'-x,y+1/2,-z'
'x,-y+1/2,z'
loop_
_atom_site_label
_atom_site_fract_x
_atom_site_fract_y
_atom_site_fract_z
Mg1 0.250 0.250 0.079
Sc1 0.250 0.750 0.428
# electronic total energy: -15.741 eV for the cell shown
# energy of formation: 28 meV/atom

=====

# Zr12Tl3Cd, relaxed, DFT PBE
data_Zr12Tl3Cd
_symmetry_space_group_name_H-M 'P 4/m m m'
_symmetry_Int_Tables_number 123
_symmetry_space_group_name_Hall '-P 4 2'
_cell_length_a 4.484
_cell_length_b 4.484
_cell_length_c 17.900
_cell_angle_alpha 90.00
_cell_angle_beta 90.00
_cell_angle_gamma 90.00
loop_
_atom_site_label
_atom_site_fract_x
_atom_site_fract_y
_atom_site_fract_z
Zr1 0.000 0.000 0.000
Zr2 0.000 0.000 0.249
Zr3 0.000 0.000 0.500
Zr4 0.000 0.500 0.124
Zr5 0.000 0.500 0.375
Tl1 0.500 0.500 0.249
Tl2 0.500 0.500 0.500
Cd1 0.500 0.500 0.000
# electronic total energy: -112.287 eV for the cell shown
# energy of formation: -106 meV/atom

=====

# SrMg2In, relaxed, DFT PBE
data_SrMg2In
_symmetry_space_group_name_H-M 'P 4/n m m'
_symmetry_Int_Tables_number 129
_cell_length_a 4.549
_cell_length_b 4.549
_cell_length_c 11.660
_cell_angle_alpha 90.00
_cell_angle_beta 90.00
_cell_angle_gamma 90.00
loop_
_symmetry_equiv_pos_as_xyz
'x,y,z'
'-x,-y,-z'
'-y+1/2,x,z'
'y+1/2,-x,-z'
'-x+1/2,-y+1/2,z'
'x+1/2,y+1/2,-z'
'y,-x+1/2,z'
'-y,x+1/2,-z'
'x+1/2,-y,-z'
'-x+1/2,y,z'
'-y,-x,-z'
'y,x,z'
'-x,y+1/2,-z'
'x,-y+1/2,z'
'y+1/2,x+1/2,-z'
'-y+1/2,-x+1/2,z'
loop_
_atom_site_label
_atom_site_fract_x
_atom_site_fract_y
_atom_site_fract_z
Sr1 0.250 0.250 0.236
Mg1 0.250 0.250 0.936
Mg2 0.250 0.750 0.500
In1 0.250 0.250 0.668
# electronic total energy: -16.670 eV for the cell shown
# energy of formation: -181 meV/atom

=====

# CaGdMgTl, relaxed, DFT PBE
data_CaGdMgTl
_symmetry_space_group_name_H-M 'F -4 3 m'
_symmetry_Int_Tables_number 216
_symmetry_space_group_name_Hall 'F -4 2 3'
_cell_length_a 7.694
_cell_length_b 7.694
_cell_length_c 7.694
_cell_angle_alpha 90.00
_cell_angle_beta 90.00
_cell_angle_gamma 90.00
loop_
_atom_site_label
_atom_site_fract_x
_atom_site_fract_y
_atom_site_fract_z
Ca1 0.000 0.000 0.000
Gd1 0.000 0.000 0.500
Mg1 0.250 0.250 0.250
Tl1 0.250 0.250 0.750
# electronic total energy: -84.441 eV for the cell shown
# energy of formation: -267 meV/atom

=====

# HfTc2MoC, relaxed, DFT PBE
data_HfTc2MoC
_symmetry_space_group_name_H-M 'P 4/m m m'
_symmetry_Int_Tables_number 123
_symmetry_space_group_name_Hall '-P 4 2'
_cell_length_a 4.164
_cell_length_b 4.164
_cell_length_c 4.187
_cell_angle_alpha 90.00
_cell_angle_beta 90.00
_cell_angle_gamma 90.00
loop_
_atom_site_label
_atom_site_fract_x
_atom_site_fract_y
_atom_site_fract_z
Hf1 0.000 0.000 0.000
Tc1 0.000 0.500 0.500
Mo1 0.500 0.500 0.000
C1 0.500 0.500 0.500
# electronic total energy: -51.303 eV for the cell shown
# energy of formation: -113 meV/atom

=====

# ZrMnH2N, relaxed, DFT PBE
data_ZrMnH2N
_symmetry_space_group_name_H-M 'P 4/m m m'
_symmetry_Int_Tables_number 123
_symmetry_space_group_name_Hall '-P 4 2'
_cell_length_a 3.287
_cell_length_b 3.287
_cell_length_c 3.940
_cell_angle_alpha 90.00
_cell_angle_beta 90.00
_cell_angle_gamma 90.00
loop_
_atom_site_label
_atom_site_fract_x
_atom_site_fract_y
_atom_site_fract_z
Zr1 0.000 0.000 0.000
Mn1 0.500 0.500 0.500
H1 0.000 0.500 0.500
N1 0.500 0.500 0.000
# electronic total energy: -35.363 eV for the cell shown

=====

# LiIn2Ir2, relaxed, DFT PBE
data_LiIn2Ir2
_symmetry_space_group_name_H-M 'P 4/m b m'
_symmetry_Int_Tables_number 127
_symmetry_space_group_name_Hall '-P 4 2ab'
_cell_length_a 7.673
_cell_length_b 7.673
_cell_length_c 3.119
_cell_angle_alpha 90.00
_cell_angle_beta 90.00
_cell_angle_gamma 90.00
loop_
_atom_site_label
_atom_site_fract_x
_atom_site_fract_y
_atom_site_fract_z
Li1 0.000 0.000 0.000
In1 0.161 0.339 0.500
Ir1 0.137 0.637 0.000
# energy relative to the lowest polymorph listed for this composition: 0.0 meV per atom
# electronic total energy: -51.586 eV for the cell shown
# energy of formation: -136 meV/atom

=====

# Sr6As2PdBr3, relaxed, DFT PBE
data_Sr6As2PdBr3
_symmetry_space_group_name_H-M 'C 1 2/m 1'
_symmetry_Int_Tables_number 12
_cell_length_a 19.947
_cell_length_b 4.527
_cell_length_c 9.268
_cell_angle_alpha 90.00
_cell_angle_beta 104.89
_cell_angle_gamma 90.00
loop_
_symmetry_equiv_pos_as_xyz
'x,y,z'
'-x,-y,-z'
'-x,y,-z'
'x,-y,z'
'x+1/2,y+1/2,z'
'-x+1/2,-y+1/2,-z'
'-x+1/2,y+1/2,-z'
'x+1/2,-y+1/2,z'
loop_
_atom_site_label
_atom_site_fract_x
_atom_site_fract_y
_atom_site_fract_z
Sr1 0.006 0.000 0.230
Sr2 0.156 0.500 0.104
Sr3 0.175 0.500 0.562
As1 0.165 0.000 0.333
Pd1 0.000 0.500 0.000
Br1 0.000 0.500 0.500
Br2 0.170 0.000 0.833
# raw formation energy: -1400 meV/atom
# electronic total energy: -92.807 eV for the cell shown

=====

# Mg3BH, relaxed, DFT PBE
data_Mg3BH
_symmetry_space_group_name_H-M 'P m -3 m'
_symmetry_Int_Tables_number 221
_symmetry_space_group_name_Hall '-P 4 2 3'
_cell_length_a 4.504
_cell_length_b 4.504
_cell_length_c 4.504
_cell_angle_alpha 90.00
_cell_angle_beta 90.00
_cell_angle_gamma 90.00
loop_
_atom_site_label
_atom_site_fract_x
_atom_site_fract_y
_atom_site_fract_z
Mg1 0.000 0.000 0.500
B1 0.000 0.000 0.000
H1 0.500 0.500 0.500
# energy relative to the lowest polymorph listed for this composition: 0.0 meV per atom
# electronic total energy: -12.825 eV for the cell shown

=====

# BaMoW2, relaxed, DFT PBE
data_BaMoW2
_symmetry_space_group_name_H-M 'C 1 2/m 1'
_symmetry_Int_Tables_number 12
_cell_length_a 5.715
_cell_length_b 10.109
_cell_length_c 2.844
_cell_angle_alpha 90.00
_cell_angle_beta 107.40
_cell_angle_gamma 90.00
loop_
_symmetry_equiv_pos_as_xyz
'x,y,z'
'-x,-y,-z'
'-x,y,-z'
'x,-y,z'
'x+1/2,y+1/2,z'
'-x+1/2,-y+1/2,-z'
'-x+1/2,y+1/2,-z'
'x+1/2,-y+1/2,z'
loop_
_atom_site_label
_atom_site_fract_x
_atom_site_fract_y
_atom_site_fract_z
Ba1 0.000 0.000 0.000
Mo1 0.000 0.500 0.000
W1 0.250 0.250 0.500
# energy relative to the lowest polymorph listed for this composition: 605.0 meV per atom
# electronic total energy: -65.701 eV for the cell shown
# energy of formation: 1452 meV/atom

=====

Number 1: ρ 2.4 g/cm3. Number 2: ρ 8.4 g/cm3. Number 3: ρ 3.5 g/cm3. Number 4: ρ 6.2 g/cm3. Number 5: ρ 11.0 g/cm3. Number 6: ρ 6.3 g/cm3. Number 7: ρ 11.2 g/cm3. Number 8: ρ 4.2 g/cm3. Number 9: ρ 1.5 g/cm3. Number 10: ρ 12.7 g/cm3.